Material: VRuO2
Method: DFT, PBE with a Hubbard U
State: optimized geometry

E in eV per atom: -7.42
ΔE to the lowest computed polymorph in eV/f.u.: 1.278

The structure in extended XYZ format:
```
8
Lattice="-3.1069 3.3670 -0.8977 -3.1431 -2.1886 2.6694 -1.6339 2.9490 4.5764" Properties=species:S:1:pos:R:3 pbc="T T T"
Ru 0.0000 0.0000 0.0000
Ru -3.9329 3.4526 2.2823
O -2.6598 2.4777 0.9408
O -2.8446 -0.1194 2.6762
O -3.6535 2.5950 4.1683
O -6.6099 3.3016 4.9110
V -3.1250 0.5892 0.8859
V -3.9510 0.6748 4.0658
```